(1)
The following is a GGA-PBE calculation of a geometry-optimized Ca2MgCu structure, from Alexandria via LeMat-Bulk.

Cell: 9.5306 9.5306 9.5306 Å, 149.79 149.79 43.25°
Sites, in units of the cell vectors:
Ca 0.6594 0.6594 0.0000
Ca 0.5000 0.0000 0.5000
Cu 0.2500 0.7500 0.5000
Mg 0.8428 0.8428 0.0000
Ca 0.3406 0.3406 0.0000
Cu 0.7500 0.2500 0.5000
Ca 0.0000 0.5000 0.5000
Mg 0.1572 0.1572 0.0000

Summary:
calculated formation energy = -17 meV/atom
total magnetic moment = 0.00 μB/atom
total energy = -19.52 eV for the cell shown



(2)
The following is a GGA-PBE calculation of a geometry-optimized Ca2MgCu structure, from Alexandria via LeMat-Bulk.

Cell: 6.6572 6.6572 9.3783 Å, 90.00 90.00 148.60°
Sites, in units of the cell vectors:
Ca 0.1337 0.8663 0.9370
Mg 0.4293 0.5707 0.7500
Ca 0.1337 0.8663 0.5630
Ca 0.8663 0.1337 0.0630
Mg 0.5707 0.4293 0.2500
Ca 0.8663 0.1337 0.4370
Cu 0.7688 0.2312 0.7500
Cu 0.2312 0.7688 0.2500

Summary:
calculated formation energy = -66 meV/atom
total magnetic moment = 0.00 μB/atom
total energy = -19.91 eV for the cell shown



(3)
The following is a GGA-PBE calculation of a geometry-optimized Ca2Mg3Cu4 structure, from Alexandria via LeMat-Bulk.

Cell: 7.8968 7.8968 5.6246 Å, 82.34 82.34 31.35°
Sites, in units of the cell vectors:
Mg 0.0000 0.0000 0.0000
Mg 0.8950 0.8950 0.5496
Cu 0.5074 0.5074 0.2845
Ca 0.6664 0.6664 0.9086
Ca 0.3336 0.3336 0.0914
Cu 0.7279 0.7279 0.4003
Cu 0.2721 0.2721 0.5997
Cu 0.4926 0.4926 0.7155
Mg 0.1050 0.1050 0.4504

Summary:
calculated formation energy = -104 meV/atom
total magnetic moment = 0.00 μB/atom
total energy = -26.11 eV for the cell shown



(4)
The following is a GGA-PBE calculation of a geometry-optimized Ca2MgCu2 structure, from Alexandria via LeMat-Bulk.

Cell: 6.5719 6.5719 5.6566 Å, 76.02 76.02 29.85°
Sites, in units of the cell vectors:
Cu 0.6957 0.6957 0.9073
Cu 0.3043 0.3043 0.0927
Ca 0.3644 0.3644 0.5677
Mg 0.0000 0.0000 0.0000
Ca 0.6356 0.6356 0.4323

Summary:
calculated formation energy = 44 meV/atom
total magnetic moment = 0.00 μB/atom
total energy = -13.57 eV for the cell shown



(5)
The following is a GGA-PBE calculation of a geometry-optimized Ca2Mg4Cu structure, from Alexandria via LeMat-Bulk.

Cell: 7.6848 7.6848 7.6848 Å, 100.33 100.33 129.89°
Sites, in units of the cell vectors:
Ca 0.2500 0.7500 0.5000
Ca 0.7500 0.2500 0.5000
Mg 0.7070 0.5000 0.2070
Mg 0.5000 0.2930 0.7930
Mg 0.2930 0.5000 0.7930
Cu 0.0000 0.0000 0.0000
Mg 0.5000 0.7070 0.2070

Summary:
calculated formation energy = 922 meV/atom
total magnetic moment = 0.00 μB/atom
total energy = -8.02 eV for the cell shown
energy relative to the lowest polymorph listed for this composition = 636 kJ/mol of formula units



(6)
The following is a GGA-PBE calculation of a geometry-optimized Ca12MgCu5 structure, from Alexandria via LeMat-Bulk.

Cell: 8.9229 8.9229 8.9229 Å, 104.33 112.63 111.58°
Sites, in units of the cell vectors:
Ca 0.8080 0.5831 0.7751
Cu 0.0000 0.0000 0.0000
Ca 0.8080 0.0329 0.2249
Ca 0.3063 0.6762 0.9825
Ca 0.6937 0.6762 0.3699
Ca 0.5335 0.8179 0.7156
Cu 0.6289 0.6289 0.0000
Ca 0.1920 0.9671 0.7751
Ca 0.1023 0.8179 0.2844
Ca 0.6937 0.3238 0.0175
Ca 0.4665 0.1821 0.2844
Ca 0.3063 0.3238 0.6301
Cu 0.3711 0.3711 0.0000
Ca 0.8977 0.1821 0.7156
Cu 0.5000 0.1134 0.6134
Ca 0.1920 0.4169 0.2249
Cu 0.5000 0.8866 0.3866
Mg 0.0000 0.5000 0.5000

Summary:
calculated formation energy = -80 meV/atom
total magnetic moment = 0.00 μB/atom
total energy = -47.53 eV for the cell shown